# RbCoTc2O8 (PBE with a Hubbard U, relaxed)
data_RbCoTc2O8
_chemical_formula_sum 'Rb1 Co1 Tc2 O8'
_space_group_name_H-M_alt 'P -3'
_space_group_IT_number 147
_space_group_name_Hall '-P 3'
_cell_length_a 5.5347
_cell_length_b 5.5347
_cell_length_c 8.0789
_cell_angle_alpha 90.00
_cell_angle_beta 90.00
_cell_angle_gamma 120.00
loop_
_atom_site_label
_atom_site_type_symbol
_atom_site_fract_x
_atom_site_fract_y
_atom_site_fract_z
Rb1 Rb 0.0000 0.0000 0.0000
Co1 Co 0.0000 0.0000 0.5000
Tc1 Tc 0.3333 0.6667 0.7186
O1 O 0.0781 0.3307 0.6513
O2 O 0.3333 0.6667 0.9352
# Energy   -83.835 eV/f.u.
# Calculated density   3.63 g/cm³
# Calculated volume   17.9 A^3/atom
# Crystal system   trigonal

# MnOsPb2O8 (PBE with a Hubbard U, relaxed)
data_MnOsPb2O8
_chemical_formula_sum 'Mn1 Os1 Pb2 O8'
_space_group_name_H-M_alt 'P 1 2/m 1'
_space_group_IT_number 10
_space_group_name_Hall '-P 2y'
_cell_length_a 4.872
_cell_length_b 6.768
_cell_length_c 4.878
_cell_angle_alpha 90.00
_cell_angle_beta 91.21
_cell_angle_gamma 90.00
loop_
_atom_site_label
_atom_site_type_symbol
_atom_site_fract_x
_atom_site_fract_y
_atom_site_fract_z
Mn1 Mn 0.000 0.000 0.000
Os1 Os 0.000 0.500 0.000
Pb1 Pb 0.500 0.245 0.500
O1 O 0.179 0.277 0.824
O2 O 0.275 0.500 0.278
O3 O 0.288 0.000 0.290
# Energy   -77.969 eV/f.u.
# Calculated density   8.13 g/cm³
# Calculated volume   13.4 A^3/atom
# Crystal system   monoclinic